No. 1
Material: CeDyOsAu
Method: DFT, PBE
State: relaxed

Lattice parameters (Å, degrees): 7.074 7.074 7.074 90.00 90.00 90.00
Space group F-43m (No. 216)
Unique sites:
Ce 0.000 0.000 0.000
Dy 0.000 0.000 0.500
Os 0.250 0.250 0.750
Au 0.250 0.250 0.250

## Properties
**Energy**: -6.640 eV per atom
**ΔH_f (0 K)**: -0.3796 eV per atom

***

No. 2
Material: CeDyPdAu
Method: DFT, PBE
State: relaxed

Lattice parameters (Å, degrees): 7.208 7.208 7.208 90.00 90.00 90.00
Space group F-43m (No. 216)
Unique sites:
Ce 0.000 0.000 0.000
Dy 0.000 0.000 0.500
Pd 0.250 0.250 0.250
Au 0.250 0.250 0.750

## Properties
**Energy**: -5.465 eV per atom
**ΔH_f (0 K)**: -0.7139 eV per atom

***

No. 3
Material: CeDyPtAu
Method: DFT, PBE
State: relaxed

Lattice parameters (Å, degrees): 4.701 3.793 10.729 90.00 90.00 90.00
Space group Amm2 (No. 38)
Unique sites:
Ce 0.000 0.000 0.000
Dy 0.500 0.000 0.275
Pt 0.000 0.000 0.729
Au 0.500 0.000 0.550

## Properties
**Energy**: -5.924 eV per atom
**Energy relative to the lowest polymorph listed for this composition**: 0.0 meV per atom
**ΔH_f (0 K)**: -0.9606 eV per atom

***

No. 4
Material: CeDyPtAu
Method: DFT, PBE
State: relaxed

Lattice parameters (Å, degrees): 7.187 7.187 7.187 90.00 90.00 90.00
Space group F-43m (No. 216)
Unique sites:
Ce 0.000 0.000 0.000
Dy 0.000 0.000 0.500
Pt 0.250 0.250 0.750
Au 0.250 0.250 0.250

## Properties
**Energy**: -5.856 eV per atom
**Energy relative to the lowest polymorph listed for this composition**: 68.3 meV per atom
**ΔH_f (0 K)**: -0.8923 eV per atom

***

No. 5
Material: CeDySiAu
Method: DFT, PBE
State: relaxed

Lattice parameters (Å, degrees): 7.236 7.236 7.236 90.00 90.00 90.00
Space group F-43m (No. 216)
Unique sites:
Ce 0.000 0.000 0.000
Dy 0.000 0.000 0.500
Si 0.250 0.250 0.250
Au 0.250 0.250 0.750

## Properties
**Energy relative to the elements, uncorrected**: -575.8 meV per atom
**Energy**: -5.385 eV per atom

***

No. 6
Material: Ce2DySi2Au2
Method: DFT, PBE
State: relaxed

Lattice parameters (Å, degrees): 4.3204 4.3204 27.6324 90.00 90.00 120.00
Space group R-3m (No. 166, hexagonal axes)
Unique sites:
Ce 0.0000 0.0000 0.1411
Dy 0.0000 0.0000 0.0000
Si 0.0000 0.0000 0.2587
Au 0.0000 0.0000 0.4002

## Properties
**Energy relative to the elements, uncorrected**: -635.5 meV per atom
**Energy**: -5.474 eV per atom

***

No. 7
Material: CeDyTcAu
Method: DFT, PBE
State: relaxed

Lattice parameters (Å, degrees): 7.077 7.077 7.077 90.00 90.00 90.00
Space group F-43m (No. 216)
Unique sites:
Ce 0.000 0.000 0.000
Dy 0.000 0.000 0.500
Tc 0.250 0.250 0.750
Au 0.250 0.250 0.250

## Properties
**Energy**: -6.349 eV per atom
**ΔH_f (0 K)**: -0.3047 eV per atom

***

No. 8
Material: CeDyZnAu
Method: DFT, PBE
State: relaxed

Lattice parameters (Å, degrees): 3.602 3.602 7.343 90.00 90.00 90.00
Space group P4mm (No. 99)
Unique sites:
Ce 0.000 0.000 0.000
Dy 0.000 0.000 0.496
Zn 0.500 0.500 0.258
Au 0.500 0.500 0.724

## Properties
**Energy**: -4.263 eV per atom
**Energy relative to the lowest polymorph listed for this composition**: 0.0 meV per atom
**ΔH_f (0 K)**: -0.4914 eV per atom

***

No. 9
Material: CeDyZnAu
Method: DFT, PBE
State: relaxed

Lattice parameters (Å, degrees): 7.272 7.272 7.272 90.00 90.00 90.00
Space group F-43m (No. 216)
Unique sites:
Ce 0.000 0.000 0.000
Dy 0.000 0.000 0.500
Zn 0.250 0.250 0.250
Au 0.250 0.250 0.750

## Properties
**Energy**: -4.235 eV per atom
**Energy relative to the lowest polymorph listed for this composition**: 28.7 meV per atom
**ΔH_f (0 K)**: -0.4628 eV per atom

***

No. 10
Material: Ce2DyZn2Au2
Method: DFT, PBE
State: relaxed

Lattice parameters (Å, degrees): 4.5012 4.5012 26.0548 90.00 90.00 120.00
Space group R-3m (No. 166, hexagonal axes)
Unique sites:
Ce 0.0000 0.0000 0.1393
Dy 0.0000 0.0000 0.0000
Zn 0.0000 0.0000 0.4025
Au 0.0000 0.0000 0.2642

## Properties
**Energy**: -4.151 eV per atom
**ΔH_f (0 K)**: -0.4979 eV per atom

***

No. 11
Material: Ce2ErAu
Method: DFT, PBE
State: relaxed

Lattice parameters (Å, degrees): 4.182 4.182 5.613 90.00 90.00 90.00
Space group P4/mmm (No. 123)
Unique sites:
Ce 0.000 0.500 0.000
Er 0.000 0.000 0.500
Au 0.500 0.500 0.500

## Properties
**Energy**: -5.196 eV per atom
**Energy relative to the lowest polymorph listed for this composition**: 0.0 meV per atom
**ΔH_f (0 K)**: -0.2692 eV per atom

***

No. 12
Material: Ce2ErAu3
Method: DFT, PBE
State: relaxed

Lattice parameters (Å, degrees): 5.1498 5.1498 12.7674 90.00 90.00 120.00
Space group P-3m1 (No. 164)
Unique sites:
Ce 0.0000 0.0000 0.0000
Ce 0.0000 0.0000 0.5000
Ce 0.3333 0.6667 0.1634
Er 0.3333 0.6667 0.6643
Au 0.0000 0.0000 0.2574
Au 0.3333 0.6667 0.4117
Au 0.3333 0.6667 0.9050

## Properties
**Energy**: -5.052 eV per atom
**ΔH_f (0 K)**: -0.6750 eV per atom

***

| no. | magnetic moment (μB per atom) |
| --- | --- |
| 1 | 0.10 |
| 2 | 0.21 |
| 3 | 0.17 |
| 4 | 0.20 |
| 5 | 0.40 |
| 6 | 0.21 |
| 7 | 0.07 |
| 8 | 0.27 |
| 9 | 0.21 |
| 10 | 0.07 |
| 11 | 0.19 |
| 12 | 0.18 |